Record 1
DFT (PBE) results for a relaxed structure of AlPAuO.

Cell: 3.937 6.812 5.133 Å, 90.00 90.00 90.00°
Fractional positions:
Al 0.000 0.856 0.024
Au 0.500 0.324 0.946
Au 0.500 0.676 0.446
P 0.500 0.329 0.430
P 0.500 0.671 0.930
O 0.000 0.923 0.354
Al 0.000 0.144 0.524
O 0.000 0.077 0.854

The symmetry is Pmc2_1 (26). The total energy comes out at -5.277 eV/atom. The calculation puts the polymorph energy (0 for the lowest one) at 0.010 eV per atom.

=====

Record 2
DFT (PBE) results for a relaxed structure of TaCo6W.

Cell: 4.103 5.119 4.481 Å, 90.00 90.00 90.00°
Fractional positions:
Co 0.500 0.500 0.182
Co 0.000 0.000 0.807
Co 0.000 0.258 0.341
Co 0.000 0.742 0.341
W 0.000 0.500 0.843
Co 0.500 0.749 0.664
Co 0.500 0.251 0.664
Ta 0.500 0.000 0.159

The symmetry is Pmm2 (25). The total energy comes out at -8.548 eV/atom. As for the total magnetization: 2.63 μB per formula unit.

=====

Record 3
DFT (PBE) results for a relaxed structure of HfCuSiMo.

Cell: 4.430 4.430 4.430 Å, 60.00 60.00 60.00°
Fractional positions:
Si 0.000 0.000 0.000
Hf 0.500 0.500 0.500
Cu 0.750 0.750 0.750
Mo 0.250 0.250 0.250

The symmetry is F-43m (216). The total energy comes out at -7.449 eV/atom. As for the total magnetization: 0.00 μB per formula unit. The calculation puts the polymorph energy (0 for the lowest one) at 0.000 eV per atom.